{
  "formula": "MoPF2",
  "functional": "GGA+U",
  "state": "optimized geometry",
  "lattice": [[3.726, 0.000, 0.000], [0.000, 3.726, 0.000], [0.000, 0.000, 15.983]],
  "species": ["Mo", "Mo", "Mo", "Mo", "P", "P", "P", "P", "F", "F", "F", "F", "F", "F", "F", "F"],
  "fractional_positions": [[0.000, 0.000, 0.000], [0.000, 0.500, 0.250], [0.500, 0.000, 0.750], [0.500, 0.500, 0.500], [0.000, 0.000, 0.500], [0.000, 0.500, 0.750], [0.500, 0.000, 0.250], [0.500, 0.500, 0.000], [0.240, 0.250, 0.125], [0.250, 0.740, 0.375], [0.250, 0.760, 0.875], [0.260, 0.250, 0.625], [0.740, 0.750, 0.625], [0.750, 0.240, 0.875], [0.750, 0.260, 0.375], [0.760, 0.750, 0.125]],
  "spacegroup": "I-42d, No. 122",
  "crystal_system": "tetragonal",
  "e_above_lowest_polymorph_mev_per_atom": 0,
  "dos_at_fermi_per_ev_cell": 2.05
}